Record 1
A plane-wave DFT calculation with GGA-PBE was carried out for TiMn2C after structural relaxation.

Summary:
- E_form: -0.05 eV/atom

Unit cell a=5.081 b=5.081 c=5.081 alpha=100.65 beta=100.65 gamma=129.09
Positions (direct):
Ti: 0.000 0.000 0.000
Ti: 0.750 0.250 0.500
Mn: 0.241 0.625 0.116
Mn: 0.375 0.491 0.616
Mn: 0.509 0.125 0.884
Mn: 0.875 0.759 0.384
C: 0.250 0.750 0.500
C: 0.500 0.500 0.000

Record 2
A plane-wave DFT calculation with GGA-PBE was carried out for TiMnC2 after structural relaxation.

Summary:
- E_form: 0.78 eV/atom

Unit cell a=5.929 b=5.929 c=5.929 alpha=31.45 beta=31.45 gamma=31.45
Positions (direct):
Ti: 0.000 0.000 0.000
Mn: 0.500 0.500 0.500
C: 0.393 0.393 0.393
C: 0.607 0.607 0.607

Record 3
A plane-wave DFT calculation with GGA-PBE was carried out for TiMnC2 after structural relaxation.

Summary:
- E_form: 0.23 eV/atom

Unit cell a=5.594 b=5.594 c=5.594 alpha=133.12 beta=133.12 gamma=68.46
Positions (direct):
Ti: 0.000 0.000 0.000
Ti: 0.750 0.250 0.500
Mn: 0.250 0.750 0.500
Mn: 0.500 0.500 0.000
C: 0.168 0.625 0.043
C: 0.375 0.418 0.543
C: 0.582 0.125 0.957
C: 0.875 0.832 0.457

Record 4
A plane-wave DFT calculation with GGA-PBE was carried out for TiMnC after structural relaxation.

Summary:
- E_form: -0.36 eV/atom

Unit cell a=2.916 b=2.916 c=4.468 alpha=90.00 beta=90.00 gamma=120.00
Positions (direct):
Ti: 0.000 0.000 0.000
Mn: 0.333 0.667 0.499
C: 0.667 0.333 0.283

Record 5
A plane-wave DFT calculation with GGA-PBE was carried out for TiMn2C after structural relaxation.

Summary:
- E_form: -0.36 eV/atom

Unit cell a=3.027 b=3.027 c=9.934 alpha=90.00 beta=90.00 gamma=90.00
Positions (direct):
Ti: 0.250 0.250 0.104
Ti: 0.750 0.750 0.896
Mn: 0.250 0.250 0.421
Mn: 0.250 0.250 0.696
Mn: 0.750 0.750 0.304
Mn: 0.750 0.750 0.579
C: 0.250 0.250 0.889
C: 0.750 0.750 0.111

Record 6
A plane-wave DFT calculation with GGA-PBE was carried out for UTiMnC3 after structural relaxation.

Summary:
- E_form: -0.13 eV/atom

Unit cell a=6.796 b=3.100 c=7.234 alpha=90.00 beta=102.08 gamma=90.00
Positions (direct):
U: 0.180 0.250 0.199
U: 0.820 0.750 0.801
Ti: 0.355 0.750 0.859
Ti: 0.645 0.250 0.141
Mn: 0.110 0.250 0.600
Mn: 0.890 0.750 0.400
C: 0.122 0.250 0.864
C: 0.186 0.750 0.480
C: 0.427 0.750 0.159
C: 0.573 0.250 0.841
C: 0.814 0.250 0.520
C: 0.878 0.750 0.136

Record 7
A plane-wave DFT calculation with GGA-PBE was carried out for TiMnV2C after structural relaxation.

Summary:
- E_form: -0.03 eV/atom

Unit cell a=3.902 b=3.902 c=4.169 alpha=90.00 beta=90.00 gamma=90.00
Positions (direct):
Ti: 0.000 0.000 0.000
Mn: 0.500 0.500 0.000
V: 0.000 0.500 0.500
V: 0.500 0.000 0.500
C: 0.000 0.000 0.500

Record 8
A plane-wave DFT calculation with GGA-PBE was carried out for Ti2MnZnC after structural relaxation.

Summary:
- E_form: -0.36 eV/atom

Unit cell a=4.224 b=4.224 c=3.685 alpha=90.00 beta=90.00 gamma=90.00
Positions (direct):
Ti: 0.000 0.500 0.000
Ti: 0.500 0.000 0.000
Mn: 0.000 0.000 0.500
Zn: 0.500 0.500 0.500
C: 0.000 0.000 0.000

no.,N(E_F) (states/eV per atom)
1,0.45
2,0.74
3,0.79
4,0.39
5,0.60
6,0.80
7,2.05
8,0.81